The following is a PBE calculation of an optimized crystal structure of BeCoWAu, from the Open Quantum Materials Database. Values from VASP.

Results
- distance to the lowest polymorph of the same formula (kJ/mol of atoms) = 0.0
- spin magnetization (μB/f.u.) = 0.0
- symmetry = F-43m
- uncorrected energy (eV per atom) = -6.58

```
&SYSTEM
  ibrav = 0, nat = 4, ntyp = 4
/
ATOMIC_SPECIES
Co 58.93 Co.upf
Be 9.01 Be.upf
Au 196.97 Au.upf
W 183.84 W.upf
CELL_PARAMETERS angstrom
2.419 -2.574 2.232
-0.573 -0.355 4.123
-1.600 -3.516 1.592
ATOMIC_POSITIONS crystal
Co 0.000 0.000 0.000
Be 0.500 0.500 0.500
Au 0.750 0.750 0.750
W 0.250 0.250 0.250
```

The following is a PBE calculation of an optimized crystal structure of GdTlSeS, from the Open Quantum Materials Database. Values from VASP.

Results
- spin magnetization (μB/f.u.) = 0.0
- symmetry = R3m
- uncorrected energy (eV per atom) = -5.09

```
&SYSTEM
  ibrav = 0, nat = 4, ntyp = 4
/
ATOMIC_SPECIES
Se 78.96 Se.upf
Gd 157.25 Gd.upf
S 32.06 S.upf
Tl 204.38 Tl.upf
CELL_PARAMETERS angstrom
-5.592 4.757 3.208
-2.079 6.949 3.403
-4.235 6.800 -0.134
ATOMIC_POSITIONS crystal
Se 0.264 0.264 0.264
Gd 0.004 0.004 0.004
S 0.732 0.732 0.732
Tl 0.500 0.500 0.500
```

The following is a PBE calculation of an optimized crystal structure of CuTcMoAs, from the Open Quantum Materials Database. Values from VASP.

Results
- distance to the lowest polymorph of the same formula (kJ/mol of atoms) = 0.0
- spin magnetization (μB/f.u.) = 0.5
- symmetry = F-43m
- uncorrected energy (eV per atom) = -7.11

```
&SYSTEM
  ibrav = 0, nat = 4, ntyp = 4
/
ATOMIC_SPECIES
Tc 98.00 Tc.upf
Mo 95.94 Mo.upf
As 74.92 As.upf
Cu 63.55 Cu.upf
CELL_PARAMETERS angstrom
0.000 3.079 3.079
3.079 0.000 3.079
3.079 3.079 0.000
ATOMIC_POSITIONS crystal
Tc 0.250 0.250 0.250
Mo 0.500 0.500 0.500
As 0.000 0.000 0.000
Cu 0.750 0.750 0.750
```

The following is a PBE calculation of an optimized crystal structure of LuBeCoSb, from the Open Quantum Materials Database. Values from VASP.

Results
- distance to the lowest polymorph of the same formula (kJ/mol of atoms) = 0.0
- spin magnetization (μB/f.u.) = 0.4
- symmetry = F-43m
- uncorrected energy (eV per atom) = -4.92

```
&SYSTEM
  ibrav = 0, nat = 4, ntyp = 4
/
ATOMIC_SPECIES
Sb 121.76 Sb.upf
Be 9.01 Be.upf
Lu 174.97 Lu.upf
Co 58.93 Co.upf
CELL_PARAMETERS angstrom
0.000 3.179 3.179
3.179 0.000 3.179
3.179 3.179 0.000
ATOMIC_POSITIONS crystal
Sb 0.000 0.000 0.000
Be 0.250 0.250 0.250
Lu 0.500 0.500 0.500
Co 0.750 0.750 0.750
```

The following is a PBE calculation of an optimized crystal structure of FeGeMoAu, from the Open Quantum Materials Database. Values from VASP.

Results
- distance to the lowest polymorph of the same formula (kJ/mol of atoms) = 24.3
- spin magnetization (μB/f.u.) = 3.5
- symmetry = F-43m
- uncorrected energy (eV per atom) = -6.22

```
&SYSTEM
  ibrav = 0, nat = 4, ntyp = 4
/
ATOMIC_SPECIES
Fe 55.84 Fe.upf
Mo 95.94 Mo.upf
Ge 72.64 Ge.upf
Au 196.97 Au.upf
CELL_PARAMETERS angstrom
0.000 3.156 3.156
3.156 0.000 3.156
3.156 3.156 0.000
ATOMIC_POSITIONS crystal
Fe 0.750 0.750 0.750
Mo 0.500 0.500 0.500
Ge 0.000 0.000 0.000
Au 0.250 0.250 0.250
```

The following is a PBE calculation of an optimized crystal structure of DyUCo, from the Open Quantum Materials Database. Values from VASP.

Results
- distance to the lowest polymorph of the same formula (kJ/mol of atoms) = 0.0
- spin magnetization (μB/f.u.) = 0.0
- symmetry = F-43m
- formation energy (eV per atom) = 0.46
- uncorrected energy (eV per atom) = -7.21

```
&SYSTEM
  ibrav = 0, nat = 3, ntyp = 3
/
ATOMIC_SPECIES
U 238.03 U.upf
Co 58.93 Co.upf
Dy 162.50 Dy.upf
CELL_PARAMETERS angstrom
0.000 3.247 3.247
3.247 0.000 3.247
3.247 3.247 0.000
ATOMIC_POSITIONS crystal
U 0.750 0.750 0.750
Co 0.000 0.000 0.000
Dy 0.250 0.250 0.250
```

The following is a PBE calculation of an optimized crystal structure of CsNb4HO5, from the Open Quantum Materials Database. Values from VASP.

Results
- spin magnetization (μB/f.u.) = 0.0
- symmetry = P4/mmm
- uncorrected energy (eV per atom) = -8.12

```
&SYSTEM
  ibrav = 0, nat = 11, ntyp = 4
/
ATOMIC_SPECIES
Nb 92.91 Nb.upf
O 16.00 O.upf
H 1.01 H.upf
Cs 132.91 Cs.upf
CELL_PARAMETERS angstrom
-1.683 -3.017 -2.416
3.043 0.591 -2.857
4.795 -5.802 3.907
ATOMIC_POSITIONS crystal
Nb 0.500 0.000 0.000
Nb 0.500 0.500 0.759
Nb 0.500 0.500 0.241
Nb 0.000 0.500 0.000
O 0.000 0.500 0.248
O 0.500 0.000 0.752
O 0.000 0.500 0.752
O 0.500 0.000 0.248
O 0.000 0.000 0.000
H 0.500 0.500 0.500
Cs 0.000 0.000 0.500
```

The following is a PBE calculation of an optimized crystal structure of NaZrTe3Pd, from the Open Quantum Materials Database. Values from VASP.

Results
- distance to the lowest polymorph of the same formula (kJ/mol of atoms) = 2.5
- spin magnetization (μB/f.u.) = 0.0
- symmetry = Cmcm
- uncorrected energy (eV per atom) = -4.84

```
&SYSTEM
  ibrav = 0, nat = 12, ntyp = 4
/
ATOMIC_SPECIES
Te 127.60 Te.upf
Na 22.99 Na.upf
Pd 106.42 Pd.upf
Zr 91.22 Zr.upf
CELL_PARAMETERS angstrom
-1.818 3.050 6.950
-1.008 -0.390 -7.729
-7.419 -7.486 1.345
ATOMIC_POSITIONS crystal
Te 0.361 0.639 0.552
Te 0.639 0.361 0.448
Te 0.908 0.092 0.250
Te 0.092 0.908 0.750
Te 0.361 0.639 0.948
Te 0.639 0.361 0.052
Na 0.771 0.229 0.750
Na 0.229 0.771 0.250
Pd 0.528 0.472 0.250
Pd 0.472 0.528 0.750
Zr 0.000 0.000 0.000
Zr 0.000 0.000 0.500
```

The following is a PBE calculation of an optimized crystal structure of LaSb2Au, from the Open Quantum Materials Database. Values from VASP.

Results
- spin magnetization (μB/f.u.) = 0.0
- symmetry = P4/nmm
- uncorrected energy (eV per atom) = -4.89

```
&SYSTEM
  ibrav = 0, nat = 8, ntyp = 3
/
ATOMIC_SPECIES
La 138.91 La.upf
Au 196.97 Au.upf
Sb 121.76 Sb.upf
CELL_PARAMETERS angstrom
4.480 0.000 0.000
0.000 4.480 0.000
0.000 0.000 10.470
ATOMIC_POSITIONS crystal
La 0.250 0.250 0.747
La 0.750 0.750 0.253
Au 0.750 0.250 0.000
Au 0.250 0.750 0.000
Sb 0.250 0.250 0.175
Sb 0.750 0.250 0.500
Sb 0.250 0.750 0.500
Sb 0.750 0.750 0.825
```

The following is a PBE calculation of an optimized crystal structure of TbGdAlIr2, from the Open Quantum Materials Database. Values from VASP.

Results
- spin magnetization (μB/f.u.) = 0.0
- symmetry = Imm2
- uncorrected energy (eV per atom) = -7.06

```
&SYSTEM
  ibrav = 0, nat = 5, ntyp = 4
/
ATOMIC_SPECIES
Ir 192.22 Ir.upf
Tb 158.93 Tb.upf
Gd 157.25 Gd.upf
Al 26.98 Al.upf
CELL_PARAMETERS angstrom
-2.054 2.922 4.300
2.054 -2.922 4.300
2.054 2.922 -4.300
ATOMIC_POSITIONS crystal
Ir 0.741 0.500 0.241
Ir 0.259 0.500 0.759
Tb 0.302 0.802 0.500
Gd 0.698 0.198 0.500
Al 0.000 0.000 0.000
```

The following is a PBE calculation of an optimized crystal structure of RbSrOs, from the Open Quantum Materials Database. Values from VASP.

Results
- distance to the lowest polymorph of the same formula (kJ/mol of atoms) = 43.9
- spin magnetization (μB/f.u.) = 1.0
- symmetry = F-43m
- uncorrected energy (eV per atom) = -2.74

```
&SYSTEM
  ibrav = 0, nat = 3, ntyp = 3
/
ATOMIC_SPECIES
Rb 85.47 Rb.upf
Sr 87.62 Sr.upf
Os 190.23 Os.upf
CELL_PARAMETERS angstrom
-1.862 2.405 4.184
-2.465 4.520 -0.497
-5.108 0.259 0.776
ATOMIC_POSITIONS crystal
Rb 0.000 0.000 0.000
Sr 0.750 0.750 0.750
Os 0.250 0.250 0.250
```

The following is a PBE calculation of an optimized crystal structure of Tm2Zn, from the Open Quantum Materials Database. Values from VASP.

Results
- spin magnetization (μB/f.u.) = 0.3
- symmetry = Fd-3m
- formation energy (eV per atom) = 1.45
- uncorrected energy (eV per atom) = -1.96

```
&SYSTEM
  ibrav = 0, nat = 6, ntyp = 2
/
ATOMIC_SPECIES
Tm 168.93 Tm.upf
Zn 65.41 Zn.upf
CELL_PARAMETERS angstrom
3.644 2.220 7.452
5.732 -5.216 3.699
8.294 2.211 0.233
ATOMIC_POSITIONS crystal
Tm 0.875 0.375 0.375
Tm 0.375 0.375 0.875
Tm 0.375 0.375 0.375
Tm 0.375 0.875 0.375
Zn 0.250 0.250 0.250
Zn 0.500 0.500 0.500
```

The following is a PBE calculation of an optimized crystal structure of Nd4NpN5, from the Open Quantum Materials Database. Values from VASP.

Results
- spin magnetization (μB/f.u.) = 2.3
- symmetry = I4/m
- uncorrected energy (eV per atom) = -8.70

```
&SYSTEM
  ibrav = 0, nat = 10, ntyp = 3
/
ATOMIC_SPECIES
Nd 144.24 Nd.upf
Np 237.00 Np.upf
N 14.01 N.upf
CELL_PARAMETERS angstrom
-3.991 3.991 2.537
3.991 -3.991 2.537
3.991 3.991 -2.537
ATOMIC_POSITIONS crystal
Nd 0.401 0.202 0.601
Nd 0.601 0.800 0.399
Nd 0.202 0.601 0.801
Nd 0.800 0.401 0.199
Np 0.001 0.001 0.000
N 0.910 0.731 0.639
N 0.731 0.092 0.820
N 0.501 0.501 0.000
N 0.271 0.910 0.180
N 0.092 0.271 0.361
```